Computed, not measured: an optimized crystal structure of InSI3 at the GGA-PBE level of DFT.

Total moment ... 0.0 μB per formula unit
Raw formation energy ... 3 meV per atom
Relative energy among the computed polymorphs ... 0 meV per atom
Final energy ... -11.504 eV/f.u.
Space-group type ... Pm-3m, No. 221

Cell: 5.654 5.654 5.654 Å, 90.00 90.00 90.00°
Fractional coordinates of all 5 atoms:
In 0.500 0.500 0.500
I 0.000 0.000 0.500
I 0.000 0.500 0.000
S 0.000 0.000 0.000
I 0.500 0.000 0.000